1.
# H6OsBr12

H6OsBr12 after structural relaxation (PBE, Alexandria).

Cell lengths 8.598, 8.609, 8.965 Å; angles 78.23, 74.16, 85.43 degrees
Sites, in units of the cell vectors:
H 0.128 0.156 0.240
H 0.333 0.779 0.659
H 0.345 0.644 0.161
H 0.655 0.356 0.839
H 0.667 0.221 0.341
H 0.872 0.844 0.760
Os 0.000 0.500 0.500
Br 0.078 0.217 0.500
Br 0.099 0.562 0.206
Br 0.145 0.090 0.098
Br 0.270 0.548 0.522
Br 0.402 0.865 0.746
Br 0.493 0.310 0.836
Br 0.507 0.690 0.164
Br 0.598 0.135 0.254
Br 0.730 0.452 0.478
Br 0.855 0.910 0.902
Br 0.901 0.438 0.794
Br 0.922 0.783 0.500

Calculated values
Uncorrected energy (eV/atom): -2.8439

---

2.
# HOs2Br

HOs2Br after structural relaxation (PBE, Alexandria).

Cell lengths 5.894, 5.894, 5.894 Å; angles 90.00, 90.00, 90.00 degrees
Sites, in units of the cell vectors:
H 0.000 0.000 0.000
H 0.000 0.500 0.500
H 0.500 0.000 0.500
H 0.500 0.500 0.000
Os 0.250 0.250 0.250
Os 0.250 0.250 0.750
Os 0.250 0.750 0.250
Os 0.250 0.750 0.750
Os 0.750 0.250 0.250
Os 0.750 0.250 0.750
Os 0.750 0.750 0.250
Os 0.750 0.750 0.750
Br 0.000 0.000 0.500
Br 0.000 0.500 0.000
Br 0.500 0.000 0.000
Br 0.500 0.500 0.500

Calculated values
ΔE to the lowest computed polymorph (eV per formula unit): 2.954
Uncorrected energy (eV/atom): -5.0928

---

3.
# HOsBr3

HOsBr3 after structural relaxation (PBE, Alexandria).

Cell lengths 5.116, 5.116, 5.116 Å; angles 90.00, 90.00, 90.00 degrees
Sites, in units of the cell vectors:
H 0.000 0.000 0.000
Os 0.500 0.500 0.500
Br 0.000 0.500 0.500
Br 0.500 0.000 0.500
Br 0.500 0.500 0.000

Calculated values
ΔE to the lowest computed polymorph (eV per formula unit): 0.000
Uncorrected energy (eV/atom): -3.1422

---

- Which of these has the lowest uncorrected energy?
  HOs2Br